# 1
## NbHgBi2 (PBE-GGA)

Data for NbHgBi2 after structural relaxation.

Cell: 12.7459 12.7459 12.7459 Å, 14.51 14.51 14.51°
Atoms (fractional coordinates):
1 Nb 0.0000 0.0000 0.0000
2 Hg 0.5000 0.5000 0.5000
3 Bi 0.0780 0.0780 0.0780
4 Bi 0.9220 0.9220 0.9220

Calculated values
Symmetry: R-3m
Volume: 113.2 Å³/cell
Calculated total energy: -4.0047 eV/atom

---

# 2
## CeEr2Sc6 (PBE-GGA)

Data for CeEr2Sc6 after structural relaxation.

Cell: 9.1780 9.1780 3.2522 Å, 90.00 90.00 120.00°
Atoms (fractional coordinates):
1 Ce 0.0000 0.0000 0.0000
2 Er 0.3333 0.6667 0.0000
3 Er 0.6667 0.3333 0.0000
4 Sc 0.0000 0.3338 0.5000
5 Sc 0.0000 0.6662 0.5000
6 Sc 0.3338 0.0000 0.5000
7 Sc 0.3338 0.3338 0.5000
8 Sc 0.6662 0.0000 0.5000
9 Sc 0.6662 0.6662 0.5000

Calculated values
Energy above the lowest structure with this stoichiometry: 0.000 eV per atom
Symmetry: P6/mmm
Volume: 237.3 Å³/cell
Calculated total energy: -5.8349 eV/atom

---

# 3
## MgBNO2 (PBE-GGA)

Data for MgBNO2 after structural relaxation.

Cell: 3.8942 3.8942 4.2800 Å, 90.00 90.00 90.00°
Atoms (fractional coordinates):
1 Mg 0.0000 0.0000 0.0000
2 B 0.5000 0.5000 0.5000
3 N 0.0000 0.0000 0.5000
4 O 0.0000 0.5000 0.0000
5 O 0.5000 0.0000 0.0000

Calculated values
Uncorrected formation energy: 1.1866 eV per atom
Symmetry: P4/mmm
Volume: 64.9 Å³/cell
Calculated total energy: -4.1162 eV/atom

---

# 4
## Ba2AsRh (PBE-GGA)

Data for Ba2AsRh after structural relaxation.

Cell: 4.6830 5.9896 5.9896 Å, 48.04 90.00 90.00°
Atoms (fractional coordinates):
1 Ba 0.0000 0.0000 0.0000
2 Ba 0.5000 0.2900 0.2900
3 As 0.5000 0.5980 0.5980
4 Rh 0.0000 0.6864 0.6864

Calculated values
Symmetry: Amm2
Volume: 124.9 Å³/cell
Calculated total energy: -4.6511 eV/atom

---

# 5
## LaPr7Tm3 (PBE-GGA)

Data for LaPr7Tm3 after structural relaxation.

Cell: 7.2850 7.2850 8.6939 Å, 90.00 90.00 120.00°
Atoms (fractional coordinates):
1 La 0.0000 0.0000 0.0000
2 Pr 0.3333 0.6667 0.3135
3 Pr 0.3346 0.1673 0.3362
4 Pr 0.5005 0.0009 0.9761
5 Pr 0.5005 0.4995 0.9761
6 Pr 0.8327 0.1673 0.3362
7 Pr 0.8327 0.6654 0.3362
8 Pr 0.9991 0.4995 0.9761
9 Tm 0.1669 0.3338 0.6557
10 Tm 0.1669 0.8331 0.6557
11 Tm 0.6662 0.8331 0.6557

Calculated values
Energy above the lowest structure with this stoichiometry: 0.000 eV per atom
Symmetry: P3m1
Volume: 399.6 Å³/cell
Calculated total energy: -4.5188 eV/atom

---

# 6
## Mn2NiCl (PBE-GGA)

Data for Mn2NiCl after structural relaxation.

Cell: 4.5877 4.5877 6.0764 Å, 95.43 95.43 38.93°
Atoms (fractional coordinates):
1 Mn 0.0000 0.0000 0.0000
2 Mn 0.7406 0.7406 0.2446
3 Ni 0.2765 0.2765 0.9352
4 Cl 0.2395 0.2395 0.5555

Calculated values
Uncorrected formation energy: 0.2140 eV per atom
Energy above the lowest structure with this stoichiometry: 0.241 eV per atom
Symmetry: Cm
Volume: 80.0 Å³/cell
Calculated total energy: -6.2778 eV/atom

---

# 7
## NiPOs (PBE-GGA)

Data for NiPOs after structural relaxation.

Cell: 4.9070 4.9070 4.9070 Å, 145.73 145.73 49.25°
Atoms (fractional coordinates):
1 Ni 0.0000 0.0000 0.0000
2 P 0.6497 0.6497 0.0000
3 Os 0.2940 0.2940 0.0000

Calculated values
Symmetry: I4mm
Volume: 37.3 Å³/cell
Calculated total energy: -7.4627 eV/atom

---

# 8
## K2NaTlBi2 (PBE-GGA)

Data for K2NaTlBi2 after structural relaxation.

Cell: 9.9572 9.9572 9.9572 Å, 137.54 62.84 135.95°
Atoms (fractional coordinates):
1 K 0.1698 0.2474 0.4173
2 K 0.3302 0.7474 0.0776
3 K 0.6698 0.2526 0.9224
4 K 0.8302 0.7526 0.5827
5 Na 0.2500 0.2500 0.0000
6 Na 0.7500 0.7500 0.0000
7 Tl 0.2500 0.7500 0.5000
8 Tl 0.7500 0.2500 0.5000
9 Bi 0.1106 0.7333 0.8439
10 Bi 0.3894 0.2333 0.6227
11 Bi 0.6106 0.7667 0.3773
12 Bi 0.8894 0.2667 0.1561

Calculated values
Symmetry: Ibam
Volume: 457.6 Å³/cell
Calculated total energy: -2.5844 eV/atom

---

# 9
## NbAs2IrBr (PBE-GGA)

Data for NbAs2IrBr after structural relaxation.

Cell: 5.0133 5.0133 4.9577 Å, 90.00 90.00 90.00°
Atoms (fractional coordinates):
1 Nb 0.0000 0.0000 0.0000
2 As 0.0000 0.5000 0.0000
3 As 0.5000 0.0000 0.0000
4 Ir 0.5000 0.5000 0.5000
5 Br 0.0000 0.0000 0.5000

Calculated values
Uncorrected formation energy: 1.1096 eV per atom
Energy above the lowest structure with this stoichiometry: 0.197 eV per atom
Symmetry: P4/mmm
Volume: 124.6 Å³/cell
Calculated total energy: -4.8710 eV/atom

---

# 10
## Li2Zn5Ag (PBE-GGA)

Data for Li2Zn5Ag after structural relaxation.

Cell: 5.5952 10.8899 3.9481 Å, 90.00 90.00 90.00°
Atoms (fractional coordinates):
1 Li 0.2360 0.1247 0.0000
2 Li 0.2640 0.6247 0.0000
3 Li 0.7360 0.3753 0.0000
4 Li 0.7640 0.8753 0.0000
5 Zn 0.0000 0.5000 0.5000
6 Zn 0.0187 0.7457 0.5000
7 Zn 0.2315 0.3726 0.0000
8 Zn 0.2685 0.8726 0.0000
9 Zn 0.4813 0.2457 0.5000
10 Zn 0.5000 0.0000 0.5000
11 Zn 0.5187 0.7543 0.5000
12 Zn 0.7315 0.1274 0.0000
13 Zn 0.7685 0.6274 0.0000
14 Zn 0.9813 0.2543 0.5000
15 Ag 0.0000 0.0000 0.5000
16 Ag 0.5000 0.5000 0.5000

Calculated values
Energy above the lowest structure with this stoichiometry: 0.006 eV per atom
Symmetry: Pbam
Volume: 240.6 Å³/cell
Calculated total energy: -1.7647 eV/atom

---

# 11
## Tb2ScSe3 (PBE-GGA)

Data for Tb2ScSe3 after structural relaxation.

Cell: 13.2431 12.6339 6.9918 Å, 79.20 69.57 31.24°
Atoms (fractional coordinates):
1 Tb 0.0448 0.0448 0.2052
2 Tb 0.1233 0.1233 0.6267
3 Tb 0.2052 0.2052 0.0448
4 Tb 0.3733 0.3733 0.8767
5 Tb 0.6267 0.6267 0.1233
6 Tb 0.7948 0.7948 0.9552
7 Tb 0.8767 0.8767 0.3733
8 Tb 0.9552 0.9552 0.7948
9 Sc 0.2948 0.2948 0.4552
10 Sc 0.4552 0.4552 0.2948
11 Sc 0.5448 0.5448 0.7052
12 Sc 0.7052 0.7052 0.5448
13 Se 0.0376 0.5399 0.2246
14 Se 0.1377 0.6123 0.6123
15 Se 0.2246 0.6980 0.0376
16 Se 0.3020 0.7754 0.4601
17 Se 0.3877 0.8623 0.8623
18 Se 0.4601 0.9624 0.3020
19 Se 0.5399 0.0376 0.6980
20 Se 0.6123 0.1377 0.1377
21 Se 0.6980 0.2246 0.5399
22 Se 0.7754 0.3020 0.9624
23 Se 0.8623 0.3877 0.3877
24 Se 0.9624 0.4601 0.7754

Calculated values
Uncorrected formation energy: -1.7034 eV per atom
Energy above the lowest structure with this stoichiometry: 0.000 eV per atom
Symmetry: Fddd
Volume: 553.5 Å³/cell
Calculated total energy: -6.0443 eV/atom

---

# 12
## Be2B2Ru (PBE-GGA)

Data for Be2B2Ru after structural relaxation.

Cell: 5.4767 5.4767 2.8233 Å, 90.00 90.00 90.00°
Atoms (fractional coordinates):
1 Be 0.1805 0.3195 0.0000
2 Be 0.3195 0.8195 0.0000
3 Be 0.6805 0.1805 0.0000
4 Be 0.8195 0.6805 0.0000
5 B 0.1090 0.6090 0.5000
6 B 0.3910 0.1090 0.5000
7 B 0.6090 0.8910 0.5000
8 B 0.8910 0.3910 0.5000
9 Ru 0.0000 0.0000 0.5000
10 Ru 0.5000 0.5000 0.5000

Calculated values
Symmetry: P4/mbm
Volume: 84.7 Å³/cell
Calculated total energy: -6.1086 eV/atom

---

Question: Number 11 is which compound?
Answer: Tb2ScSe3

---

Question: Among the records above, which one has the highest volume?
Answer: Tb2ScSe3

---

Please write out number 1 again, unchanged.
## NbHgBi2 (PBE-GGA)

Data for NbHgBi2 after structural relaxation.

Cell: 12.7459 12.7459 12.7459 Å, 14.51 14.51 14.51°
Atoms (fractional coordinates):
1 Nb 0.0000 0.0000 0.0000
2 Hg 0.5000 0.5000 0.5000
3 Bi 0.0780 0.0780 0.0780
4 Bi 0.9220 0.9220 0.9220

Calculated values
Symmetry: R-3m
Volume: 113.2 Å³/cell
Calculated total energy: -4.0047 eV/atom

---

Question: What is the calculated total energy in the fifth record?
Answer: -4.5188 eV/atom